A plane-wave DFT calculation with GGA-PBE was carried out for crystalline SrBe2Hg at its relaxed geometry.

The structure in CIF format:
```
data_SrBe2Hg
_chemical_formula_sum 'Sr3 Be6 Hg3'
_symmetry_space_group_name_H-M 'P 1'
_symmetry_Int_Tables_number 1
_cell_length_a 4.1842
_cell_length_b 4.1842
_cell_length_c 16.5929
_cell_angle_alpha 90.00
_cell_angle_beta 90.00
_cell_angle_gamma 120.00
loop_
_symmetry_equiv_pos_as_xyz
'x,y,z'
loop_
_atom_site_label
_atom_site_fract_x
_atom_site_fract_y
_atom_site_fract_z
_atom_site_occupancy
Sr1 0.0000 0.0000 0.0000 1
Sr2 0.3333 0.6667 0.6667 1
Sr3 0.6667 0.3333 0.3333 1
Be1 0.0000 0.0000 0.1845 1
Be2 0.0000 0.0000 0.8155 1
Be3 0.3333 0.6667 0.4822 1
Be4 0.3333 0.6667 0.8512 1
Be5 0.6667 0.3333 0.1488 1
Be6 0.6667 0.3333 0.5178 1
Hg1 0.0000 0.0000 0.5000 1
Hg2 0.3333 0.6667 0.1667 1
Hg3 0.6667 0.3333 0.8333 1
```

Output
The value obtained for the formation enthalpy at 0 K is 0.0641 eV per atom.


A plane-wave DFT calculation with GGA-PBE was carried out for crystalline Sr2BeHg at its relaxed geometry.

The structure in CIF format:
```
data_Sr2BeHg
_chemical_formula_sum 'Sr2 Be1 Hg1'
_symmetry_space_group_name_H-M 'P 1'
_symmetry_Int_Tables_number 1
_cell_length_a 4.3508
_cell_length_b 4.3508
_cell_length_c 6.9637
_cell_angle_alpha 90.00
_cell_angle_beta 90.00
_cell_angle_gamma 90.00
loop_
_symmetry_equiv_pos_as_xyz
'x,y,z'
loop_
_atom_site_label
_atom_site_fract_x
_atom_site_fract_y
_atom_site_fract_z
_atom_site_occupancy
Sr1 0.0000 0.0000 0.0000 1
Sr2 0.5000 0.5000 0.3958 1
Be1 0.0000 0.0000 0.5411 1
Hg1 0.5000 0.5000 0.8471 1
```

Output
The distance to the lowest polymorph of the same formula comes out at 93 kJ/mol of formula units. The value obtained for the formation enthalpy at 0 K is 0.1837 eV per atom.


A plane-wave DFT calculation with GGA-PBE was carried out for crystalline Sr2BeHg at its relaxed geometry.

The structure in CIF format:
```
data_Sr2BeHg
_chemical_formula_sum 'Sr8 Be4 Hg4'
_symmetry_space_group_name_H-M 'P 1'
_symmetry_Int_Tables_number 1
_cell_length_a 8.5395
_cell_length_b 8.5395
_cell_length_c 7.7588
_cell_angle_alpha 90.00
_cell_angle_beta 90.00
_cell_angle_gamma 90.00
loop_
_symmetry_equiv_pos_as_xyz
'x,y,z'
loop_
_atom_site_label
_atom_site_fract_x
_atom_site_fract_y
_atom_site_fract_z
_atom_site_occupancy
Sr1 0.2274 0.2500 0.1250 1
Sr2 0.2500 0.7274 0.3750 1
Sr3 0.2500 0.7726 0.8750 1
Sr4 0.2726 0.2500 0.6250 1
Sr5 0.7274 0.7500 0.6250 1
Sr6 0.7500 0.2274 0.8750 1
Sr7 0.7500 0.2726 0.3750 1
Sr8 0.7726 0.7500 0.1250 1
Be1 0.0000 0.0000 0.0000 1
Be2 0.0000 0.5000 0.2500 1
Be3 0.5000 0.0000 0.7500 1
Be4 0.5000 0.5000 0.5000 1
Hg1 0.0000 0.0000 0.5000 1
Hg2 0.0000 0.5000 0.7500 1
Hg3 0.5000 0.0000 0.2500 1
Hg4 0.5000 0.5000 0.0000 1
```

Output
The distance to the lowest polymorph of the same formula comes out at 142 kJ/mol of formula units. The value obtained for the formation enthalpy at 0 K is 0.3095 eV per atom.


A plane-wave DFT calculation with GGA-PBE was carried out for crystalline SrBeHg4 at its relaxed geometry.

The structure in CIF format:
```
data_SrBeHg4
_chemical_formula_sum 'Sr1 Be1 Hg4'
_symmetry_space_group_name_H-M 'P 1'
_symmetry_Int_Tables_number 1
_cell_length_a 6.0838
_cell_length_b 6.0838
_cell_length_c 6.0838
_cell_angle_alpha 60.00
_cell_angle_beta 60.00
_cell_angle_gamma 60.00
loop_
_symmetry_equiv_pos_as_xyz
'x,y,z'
loop_
_atom_site_label
_atom_site_fract_x
_atom_site_fract_y
_atom_site_fract_z
_atom_site_occupancy
Sr1 0.0000 0.0000 0.0000 1
Be1 0.7500 0.7500 0.7500 1
Hg1 0.3756 0.3756 0.3756 1
Hg2 0.3756 0.3756 0.8732 1
Hg3 0.3756 0.8732 0.3756 1
Hg4 0.8732 0.3756 0.3756 1
```

Output
The value obtained for the formation enthalpy at 0 K is 0.2052 eV per atom.


A plane-wave DFT calculation with GGA-PBE was carried out for crystalline Sr2BeHg at its relaxed geometry.

The structure in CIF format:
```
data_Sr2BeHg
_chemical_formula_sum 'Sr4 Be2 Hg2'
_symmetry_space_group_name_H-M 'P 1'
_symmetry_Int_Tables_number 1
_cell_length_a 7.8830
_cell_length_b 4.5584
_cell_length_c 8.2514
_cell_angle_alpha 90.00
_cell_angle_beta 108.64
_cell_angle_gamma 90.00
loop_
_symmetry_equiv_pos_as_xyz
'x,y,z'
loop_
_atom_site_label
_atom_site_fract_x
_atom_site_fract_y
_atom_site_fract_z
_atom_site_occupancy
Sr1 0.2417 0.0000 0.2251 1
Sr2 0.2583 0.5000 0.7749 1
Sr3 0.7417 0.5000 0.2251 1
Sr4 0.7583 0.0000 0.7749 1
Be1 0.0000 0.5000 0.0000 1
Be2 0.5000 0.0000 0.0000 1
Hg1 0.0000 0.0000 0.5000 1
Hg2 0.5000 0.5000 0.5000 1
```

Output
The distance to the lowest polymorph of the same formula comes out at 84 kJ/mol of formula units. The value obtained for the formation enthalpy at 0 K is 0.1589 eV per atom.


A plane-wave DFT calculation with GGA-PBE was carried out for crystalline SrBeHg3 at its relaxed geometry.

The structure in CIF format:
```
data_SrBeHg3
_chemical_formula_sum 'Sr1 Be1 Hg3'
_symmetry_space_group_name_H-M 'P 1'
_symmetry_Int_Tables_number 1
_cell_length_a 6.5144
_cell_length_b 6.5144
_cell_length_c 6.5144
_cell_angle_alpha 90.00
_cell_angle_beta 90.00
_cell_angle_gamma 90.00
loop_
_symmetry_equiv_pos_as_xyz
'x,y,z'
loop_
_atom_site_label
_atom_site_fract_x
_atom_site_fract_y
_atom_site_fract_z
_atom_site_occupancy
Sr1 0.0000 0.0000 0.0000 1
Be1 0.5000 0.5000 0.5000 1
Hg1 0.0000 0.0000 0.5000 1
Hg2 0.0000 0.5000 0.0000 1
Hg3 0.5000 0.0000 0.0000 1
```

Output
The distance to the lowest polymorph of the same formula comes out at 464 kJ/mol of formula units. The value obtained for the formation enthalpy at 0 K is 0.8050 eV per atom.


A plane-wave DFT calculation with GGA-PBE was carried out for crystalline Sr2BeHg at its relaxed geometry.

The structure in CIF format:
```
data_Sr2BeHg
_chemical_formula_sum 'Sr2 Be1 Hg1'
_symmetry_space_group_name_H-M 'P 1'
_symmetry_Int_Tables_number 1
_cell_length_a 3.7981
_cell_length_b 3.7981
_cell_length_c 8.6697
_cell_angle_alpha 90.00
_cell_angle_beta 90.00
_cell_angle_gamma 90.00
loop_
_symmetry_equiv_pos_as_xyz
'x,y,z'
loop_
_atom_site_label
_atom_site_fract_x
_atom_site_fract_y
_atom_site_fract_z
_atom_site_occupancy
Sr1 0.0000 0.0000 0.0000 1
Sr2 0.5000 0.5000 0.4032 1
Be1 0.0000 0.0000 0.6275 1
Hg1 0.5000 0.5000 0.7687 1
```

Output
The distance to the lowest polymorph of the same formula comes out at 78 kJ/mol of formula units. The value obtained for the formation enthalpy at 0 K is 0.1443 eV per atom.


A plane-wave DFT calculation with GGA-PBE was carried out for crystalline Sr3BeHg at its relaxed geometry.

The structure in CIF format:
```
data_Sr3BeHg
_chemical_formula_sum 'Sr3 Be1 Hg1'
_symmetry_space_group_name_H-M 'P 1'
_symmetry_Int_Tables_number 1
_cell_length_a 5.9294
_cell_length_b 5.9294
_cell_length_c 5.9294
_cell_angle_alpha 90.00
_cell_angle_beta 90.00
_cell_angle_gamma 90.00
loop_
_symmetry_equiv_pos_as_xyz
'x,y,z'
loop_
_atom_site_label
_atom_site_fract_x
_atom_site_fract_y
_atom_site_fract_z
_atom_site_occupancy
Sr1 0.0000 0.0000 0.5000 1
Sr2 0.0000 0.5000 0.0000 1
Sr3 0.5000 0.0000 0.0000 1
Be1 0.0000 0.0000 0.0000 1
Hg1 0.5000 0.5000 0.5000 1
```

Output
The value obtained for the formation enthalpy at 0 K is 0.2204 eV per atom.


A plane-wave DFT calculation with GGA-PBE was carried out for crystalline SrBe2Hg at its relaxed geometry.

The structure in CIF format:
```
data_SrBe2Hg
_chemical_formula_sum 'Sr1 Be2 Hg1'
_symmetry_space_group_name_H-M 'P 1'
_symmetry_Int_Tables_number 1
_cell_length_a 3.4431
_cell_length_b 3.4431
_cell_length_c 6.8496
_cell_angle_alpha 90.00
_cell_angle_beta 90.00
_cell_angle_gamma 90.00
loop_
_symmetry_equiv_pos_as_xyz
'x,y,z'
loop_
_atom_site_label
_atom_site_fract_x
_atom_site_fract_y
_atom_site_fract_z
_atom_site_occupancy
Sr1 0.0000 0.0000 0.0000 1
Be1 0.5000 0.5000 0.3329 1
Be2 0.5000 0.5000 0.6671 1
Hg1 0.0000 0.0000 0.5000 1
```

Output
The value obtained for the formation enthalpy at 0 K is 0.4755 eV per atom.


A plane-wave DFT calculation with GGA-PBE was carried out for crystalline Sr4BeHg at its relaxed geometry.

The structure in CIF format:
```
data_Sr4BeHg
_chemical_formula_sum 'Sr4 Be1 Hg1'
_symmetry_space_group_name_H-M 'P 1'
_symmetry_Int_Tables_number 1
_cell_length_a 7.2174
_cell_length_b 7.2174
_cell_length_c 7.2174
_cell_angle_alpha 60.00
_cell_angle_beta 60.00
_cell_angle_gamma 60.00
loop_
_symmetry_equiv_pos_as_xyz
'x,y,z'
loop_
_atom_site_label
_atom_site_fract_x
_atom_site_fract_y
_atom_site_fract_z
_atom_site_occupancy
Sr1 0.1247 0.1247 0.1247 1
Sr2 0.1247 0.1247 0.6258 1
Sr3 0.1247 0.6258 0.1247 1
Sr4 0.6258 0.1247 0.1247 1
Be1 0.7500 0.7500 0.7500 1
Hg1 0.5000 0.5000 0.5000 1
```

Output
The value obtained for the formation enthalpy at 0 K is 0.7527 eV per atom.


Question: Among the records above, which one has the lowest formation enthalpy at 0 K?
Answer: number 1


What did the fourth record say?
A plane-wave DFT calculation with GGA-PBE was carried out for crystalline SrBeHg4 at its relaxed geometry.

The structure in CIF format:
```
data_SrBeHg4
_chemical_formula_sum 'Sr1 Be1 Hg4'
_symmetry_space_group_name_H-M 'P 1'
_symmetry_Int_Tables_number 1
_cell_length_a 6.0838
_cell_length_b 6.0838
_cell_length_c 6.0838
_cell_angle_alpha 60.00
_cell_angle_beta 60.00
_cell_angle_gamma 60.00
loop_
_symmetry_equiv_pos_as_xyz
'x,y,z'
loop_
_atom_site_label
_atom_site_fract_x
_atom_site_fract_y
_atom_site_fract_z
_atom_site_occupancy
Sr1 0.0000 0.0000 0.0000 1
Be1 0.7500 0.7500 0.7500 1
Hg1 0.3756 0.3756 0.3756 1
Hg2 0.3756 0.3756 0.8732 1
Hg3 0.3756 0.8732 0.3756 1
Hg4 0.8732 0.3756 0.3756 1
```

Output
The value obtained for the formation enthalpy at 0 K is 0.2052 eV per atom.


Question: Look up the formation enthalpy at 0 K of the first one.
Answer: 0.0641 eV per atom